BaSr2Mg (GGA-PBE, optimized geometry); formation energy = 181 meV/atom; density of states at the Fermi level = 4.933 states/eV/f.u.; total magnetization = 0.000 μB/atom; space group = I-42d; total DFT energy (no corrections) = -12.32 eV for the cell shown
1.0
10.3969 0.0000 0.0000
0.0000 10.3969 0.0000
5.1984 5.1984 3.8467
Mg Ba Sr
2 2 4
Direct
0.2500 0.7500 0.5000
0.5000 0.5000 0.0000
0.0000 0.0000 0.0000
0.7500 0.2500 0.5000
0.3750 0.4326 0.7500
0.5674 0.1250 0.2500
0.8750 0.8174 0.7500
0.1826 0.6250 0.2500